Entry 1:
SmY2Pd2 | PBE | relaxed

Lattice parameters (Å, degrees): 5.4889 4.6668 10.4559 90.00 98.34 90.00
Positions (direct):
Sm (0.0856, 0.2500, 0.2843)
Sm (0.9144, 0.7500, 0.7157)
Y (0.2560, 0.2500, 0.9665)
Y (0.3907, 0.2500, 0.6186)
Y (0.6093, 0.7500, 0.3814)
Y (0.7440, 0.7500, 0.0335)
Pd (0.1471, 0.7500, 0.4735)
Pd (0.2649, 0.7500, 0.1362)
Pd (0.7351, 0.2500, 0.8638)
Pd (0.8529, 0.2500, 0.5265)

- DOS(E_F): 0.811 states/eV/atom
- DFT formation energy: -0.65 eV/atom
- Magnetization: 0.00 μB per formula unit
- E above lowest polymorph: 38 meV per atom


Entry 2:
LiFe2RuC | PBE | relaxed

Lattice parameters (Å, degrees): 3.7331 3.7331 3.9529 90.00 90.00 90.00
Positions (direct):
Li (0.0000, 0.0000, 0.0000)
Fe (0.0000, 0.5000, 0.5000)
Fe (0.5000, 0.0000, 0.5000)
Ru (0.5000, 0.5000, 0.0000)
C (0.0000, 0.0000, 0.5000)

- DOS(E_F): 0.952 states/eV/atom
- DFT formation energy: 0.37 eV/atom
- Magnetization: 4.38 μB per formula unit
- E above lowest polymorph: 227 meV per atom


Entry 3:
Ga3PH | PBE | relaxed

Lattice parameters (Å, degrees): 4.8977 4.8977 4.8977 90.00 90.00 90.00
Positions (direct):
Ga (0.0000, 0.0000, 0.5000)
Ga (0.0000, 0.5000, 0.0000)
Ga (0.5000, 0.0000, 0.0000)
P (0.0000, 0.0000, 0.0000)
H (0.5000, 0.5000, 0.5000)

- DOS(E_F): 0.295 states/eV/atom
- Magnetization: 0.00 μB per formula unit
- E above lowest polymorph: 422 meV per atom


Entry 4:
Li2TbNdAu4 | PBE | relaxed

Lattice parameters (Å, degrees): 8.3270 8.3270 8.3270 35.05 35.05 35.05
Positions (direct):
Li (0.2500, 0.2500, 0.2500)
Li (0.7500, 0.7500, 0.7500)
Tb (0.0000, 0.0000, 0.0000)
Nd (0.5000, 0.5000, 0.5000)
Au (0.1273, 0.1273, 0.1273)
Au (0.3677, 0.3677, 0.3677)
Au (0.6323, 0.6323, 0.6323)
Au (0.8727, 0.8727, 0.8727)

- DOS(E_F): 0.636 states/eV/atom
- DFT formation energy: -0.68 eV/atom
- Magnetization: 0.00 μB per formula unit